(1)
Entry from the Alexandria database: an optimized crystal structure of Sr3Tl5Cd (PBE).

- space group = I4/mcm, No. 140
- DOS(E_F) (states/eV/atom) = 0.51
- energy of formation (meV/atom) = -191
- energy above the lowest structure with this stoichiometry (eV/f.u.) = 0.00

Lattice parameters (Å, degrees): 9.510 9.510 9.510 118.61 118.61 92.43
Element x y z (fractional)
Sr1 0.130 0.630 0.760
Sr2 0.250 0.250 0.000
Sr3 0.370 0.130 0.500
Sr4 0.630 0.870 0.500
Sr5 0.750 0.750 0.000
Sr6 0.870 0.370 0.240
Tl1 0.000 0.000 0.000
Tl2 0.036 0.165 0.500
Tl3 0.165 0.665 0.130
Tl4 0.335 0.464 0.500
Tl5 0.464 0.964 0.130
Tl6 0.500 0.500 0.000
Tl7 0.536 0.036 0.870
Tl8 0.665 0.536 0.500
Tl9 0.835 0.335 0.870
Tl10 0.964 0.835 0.500
Cd1 0.250 0.750 0.500
Cd2 0.750 0.250 0.500


(2)
Entry from the Alexandria database: an optimized crystal structure of Sr2TlCd (PBE).

- space group = C2/m, No. 12
- DOS(E_F) (states/eV/atom) = 0.57
- energy of formation (meV/atom) = -389

Lattice parameters (Å, degrees): 5.776 5.776 4.067 90.06 90.06 90.08
Element x y z (fractional)
Sr1 0.000 0.500 0.000
Sr2 0.500 0.000 0.000
Tl1 0.000 0.000 0.500
Cd1 0.500 0.500 0.500